No. 1
Below is La2IrRh after structural relaxation, with properties calculated at the PBEsol level.

abc: 4.153 3.954 11.084
angles: 90.00 90.00 90.00
Space group Amm2 (No. 38)
Unique sites:
1 La 0.000 0.000 0.000 x2
2 La 0.500 0.000 0.282 x2
3 Ir 0.000 0.000 0.725 x2
4 Rh 0.500 0.000 0.553 x2

For the magnetic moment, the calculation gives 0.00 μB per formula unit. The formation energy comes out at -2.6 eV/f.u. The calculation puts the volume at 22.8 Å³/atom.



No. 2
Below is LaIr2Rh2 after structural relaxation, with properties calculated at the PBEsol level.

abc: 4.105 4.105 10.883
angles: 90.00 90.00 90.00
Space group I4/mmm (No. 139)
Unique sites:
1 La 0.000 0.000 0.000 x2
2 Ir 0.000 0.000 0.392 x4
3 Rh 0.000 0.500 0.250 x4

For the magnetic moment, the calculation gives 0.00 μB per formula unit. The formation energy comes out at -0.8 eV/f.u. The calculation puts the volume at 18.3 Å³/atom.



No. 3
Below is LaIr2Rh after structural relaxation, with properties calculated at the PBEsol level.

abc: 2.796 3.871 6.474
angles: 90.00 90.00 90.00
Space group Pmmm (No. 47)
Unique sites:
1 La 0.000 0.000 0.000 x1
2 Ir 0.500 0.500 0.303 x2
3 Rh 0.000 0.000 0.500 x1

For the magnetic moment, the calculation gives 0.00 μB per formula unit. The formation energy comes out at 0.0 eV/f.u. Its energy relative to the lowest polymorph listed for this composition is 22 meV/atom. The calculation puts the volume at 17.5 Å³/atom.